## HfTcRu (PBE)

Data for a relaxed HfTcRu crystal.

Calculated values
E above lowest polymorph = 4.156 kcal/mol of atoms
ρ = 12.793 g cm⁻³
Volume = 16.34 A^3/atom
Formation energy from the elements = -0.182 eV/atom

a b c (Å): 9.6043 4.4787 5.5002
angles (deg): 90.00 124.05 90.00
Space group Cm (No. 8)
Inequivalent atoms, fractional coordinates:
1 Hf 0.0000 0.0000 0.0000 (multiplicity 2)
2 Hf 0.1477 0.5000 0.5058 (multiplicity 2)
3 Tc 0.1701 0.5000 0.0221 (multiplicity 2)
4 Tc 0.3300 0.0000 0.0168 (multiplicity 2)
5 Ru 0.3113 0.0000 0.5083 (multiplicity 2)
6 Ru 0.4889 0.5000 0.4895 (multiplicity 2)